Density functional theory data (PBE-GGA) for a geometry-optimized Pr2SmErTl2 structure.

a = 5.184 Å, b = 6.981 Å, c = 10.257 Å
α = 90.00°, β = 90.00°, γ = 90.00°
Atoms (fractional coordinates):
Pr1 0.000 0.332 0.184
Tl1 0.500 0.222 0.377
Pr2 0.500 0.059 0.047
Sm1 0.000 0.960 0.455
Tl2 0.000 0.797 0.146
Pr3 0.000 0.832 0.816
Pr4 0.500 0.559 0.953
Tl3 0.500 0.722 0.623
Er1 0.500 0.675 0.314
Sm2 0.000 0.460 0.545
Er2 0.500 0.175 0.686
Tl4 0.000 0.297 0.854

Calculated values
VASP energy   -25.2 eV/f.u.

Density functional theory data (PBE-GGA) for a geometry-optimized PrSmErTl structure.

a = 5.570 Å, b = 5.570 Å, c = 5.570 Å
α = 60.00°, β = 60.00°, γ = 60.00°
Last column: magnetic moment on the atom in μB.
Atoms (fractional coordinates):
Sm1 0.750 0.750 0.750  0.18
Tl1 0.000 0.000 0.000  0.00
Er1 0.500 0.500 0.500  0.32
Pr1 0.250 0.250 0.250  0.18

Calculated values
Energy above the most stable polymorph in this dataset   47.5 kJ/mol of formula units

Density functional theory data (PBE-GGA) for a geometry-optimized PrSmErTl structure.

a = 5.011 Å, b = 4.877 Å, c = 4.907 Å
α = 90.00°, β = 90.00°, γ = 90.00°
Atoms (fractional coordinates):
Tl1 0.000 0.000 0.000
Sm1 0.500 0.500 0.000
Pr1 0.500 0.000 0.500
Er1 0.000 0.500 0.500

Calculated values
Energy above the most stable polymorph in this dataset   0.0 kJ/mol of formula units

Density functional theory data (PBE-GGA) for a geometry-optimized PrSm2ErTl2 structure.

a = 5.192 Å, b = 6.935 Å, c = 10.173 Å
α = 90.00°, β = 90.00°, γ = 90.00°
Atoms (fractional coordinates):
Er1 0.500 0.678 0.310
Tl1 0.500 0.224 0.369
Tl2 0.000 0.297 0.861
Pr1 0.000 0.459 0.544
Sm1 0.500 0.053 0.046
Tl3 0.500 0.724 0.631
Sm2 0.500 0.553 0.954
Sm3 0.000 0.835 0.818
Er2 0.500 0.178 0.690
Pr2 0.000 0.959 0.456
Sm4 0.000 0.335 0.182
Tl4 0.000 0.797 0.139

Calculated values
VASP energy   -25.1 eV/f.u.

Density functional theory data (PBE-GGA) for a geometry-optimized PrSm6Er3Tm2 structure.

a = 6.208 Å, b = 6.208 Å, c = 11.822 Å
α = 95.01°, β = 95.01°, γ = 119.98°
Atoms (fractional coordinates):
Er1 0.167 0.833 0.500
Sm1 0.581 0.916 0.748
Pr1 0.000 0.000 0.000
Tm1 0.667 0.333 0.000
Tm2 0.333 0.667 0.000
Sm2 0.250 0.250 0.748
Er2 0.500 0.500 0.500
Sm3 0.750 0.750 0.252
Sm4 0.916 0.581 0.748
Er3 0.833 0.167 0.500
Sm5 0.419 0.084 0.252
Sm6 0.084 0.419 0.252

Calculated values
VASP energy   -55.5 eV/f.u.

Density functional theory data (PBE-GGA) for a geometry-optimized Pr2SmErTm4 structure.

a = 5.088 Å, b = 5.065 Å, c = 11.151 Å
α = 63.00°, β = 90.00°, γ = 90.00°
Atoms (fractional coordinates):
Pr1 0.000 0.000 0.000
Tm1 0.500 0.749 0.251
Tm2 0.000 0.752 0.748
Tm3 0.500 0.251 0.749
Tm4 0.000 0.248 0.252
Er1 0.000 0.500 0.500
Pr2 0.500 0.000 0.500
Sm1 0.500 0.500 0.000

Calculated values
VASP energy   -36.5 eV/f.u.

Density functional theory data (PBE-GGA) for a geometry-optimized Pr6SmErTm2 structure.

a = 9.675 Å, b = 8.982 Å, c = 8.982 Å
α = 117.15°, β = 93.72°, γ = 93.72°
Atoms (fractional coordinates):
Sm1 0.250 0.971 0.029
Er1 0.750 0.588 0.412
Pr1 0.883 0.295 0.514
Pr2 0.555 0.763 0.114
Tm1 0.049 0.298 0.202
Pr3 0.383 0.514 0.295
Pr4 0.117 0.705 0.486
Tm2 0.451 0.798 0.702
Pr5 0.445 0.237 0.886
Tm3 0.951 0.702 0.798
Pr6 0.312 0.996 0.439
Pr7 0.945 0.886 0.237
Pr8 0.055 0.114 0.763
Sm2 0.750 0.029 0.971
Pr9 0.188 0.561 0.004
Er2 0.250 0.412 0.588
Pr10 0.617 0.486 0.705
Pr11 0.812 0.439 0.996
Pr12 0.688 0.004 0.561
Tm4 0.549 0.202 0.298

Calculated values
VASP energy   -45.8 eV/f.u.

Density functional theory data (PBE-GGA) for a geometry-optimized PrSm5Er2Tm structure.

a = 5.622 Å, b = 10.478 Å, c = 10.735 Å
α = 90.00°, β = 90.00°, γ = 105.56°
Atoms (fractional coordinates):
Sm1 0.718 0.436 0.806
Tm1 0.589 0.177 0.959
Pr1 0.203 0.405 0.009
Sm2 0.298 0.596 0.704
Pr2 0.797 0.595 0.509
Er1 0.884 0.769 0.817
Sm3 0.393 0.787 0.025
Er2 0.116 0.231 0.317
Sm4 0.017 0.034 0.024
Sm5 0.702 0.404 0.204
Sm6 0.282 0.564 0.306
Sm7 0.983 0.966 0.524
Sm8 0.480 0.959 0.741
Sm9 0.607 0.213 0.525
Tm2 0.411 0.823 0.459
Er3 0.109 0.218 0.739
Er4 0.891 0.782 0.239
Sm10 0.520 0.041 0.241

Calculated values
VASP energy   -40.6 eV/f.u.